Entry 1:
Ba3TbDy3Se8 GGA-PBE relaxed; E_tot = -5.398 eV per atom; E_form (uncorrected) = -1.926 eV/atom
1.0
8.433 0.000 0.000
-4.216 7.302 -0.026
0.000 -4.840 7.545
Dy Se Ba Tb
3 8 3 1
Cartesian
2.108 1.231 3.760
4.216 -2.420 3.773
-2.108 1.231 3.760
0.000 0.041 5.355
4.216 2.420 2.164
-2.089 3.660 5.342
0.000 2.441 2.153
4.216 0.021 5.366
6.305 -1.199 2.177
2.089 3.660 5.342
2.128 -1.199 2.177
2.108 3.651 -0.013
-2.108 3.651 -0.013
0.000 0.000 0.000
0.000 -2.420 3.773

***

Entry 2:
BaTb4DySe8 GGA-PBE relaxed; E_tot = -5.560 eV per atom; E_form (uncorrected) = -1.780 eV/atom
1.0
8.639 0.000 0.000
4.319 7.481 0.000
4.319 2.494 7.040
Se Ba Tb Dy
8 1 4 1
Cartesian
8.639 7.829 5.168
4.319 2.494 2.120
11.099 3.567 5.168
6.178 3.567 5.168
6.349 6.310 1.804
8.639 2.344 1.804
10.929 6.310 1.804
12.958 7.481 5.130
8.639 4.988 6.153
4.319 4.955 3.531
2.188 1.263 3.531
6.451 1.263 3.531
8.639 4.988 0.883
4.319 2.494 7.005

***

Entry 3:
Ba2DyThSe6 GGA-PBE relaxed; E_tot = -5.431 eV per atom; E_form (uncorrected) = -1.753 eV/atom
1.0
-3.043 1.267 -6.734
-7.301 -1.627 2.993
-1.235 10.553 2.724
Se Dy Th Ba
12 2 2 4
Cartesian
-9.486 9.743 -0.477
-4.973 6.194 -2.241
-2.093 0.449 -0.539
-6.606 3.999 1.224
-6.873 2.895 -3.830
-5.490 10.399 -1.188
-4.707 7.297 2.813
-8.988 5.535 -1.523
-6.090 -0.206 0.171
-2.591 4.658 0.506
-9.271 6.803 2.253
-2.308 3.390 -3.270
-3.650 -0.814 1.497
-2.139 5.910 -2.005
-4.268 4.463 2.859
-1.522 0.633 -3.367
-4.816 2.563 -1.232
-4.464 9.028 -4.258
-6.763 7.630 0.215
-7.116 1.165 3.242

***

Entry 4:
Ba2DyTlSe5 GGA-PBE relaxed; E_tot = -4.660 eV per atom; E_form (uncorrected) = -1.523 eV/atom
1.0
-2.793 -2.873 -1.642
8.632 -3.118 -3.516
1.620 -7.804 10.898
Se Tl Dy Ba
10 2 2 4
Cartesian
8.379 -10.466 4.060
5.989 -9.908 1.439
1.519 -6.688 3.409
2.733 -9.950 7.049
5.283 -7.785 4.635
1.876 -4.564 -0.915
5.121 -5.745 1.342
0.866 -0.975 0.234
5.142 -3.262 -3.040
-0.870 -3.568 2.012
0.801 -9.221 9.061
7.286 -7.596 0.897
3.077 -2.058 -1.632
3.630 -8.114 2.312
2.478 -3.702 2.264
5.196 -11.121 4.911
2.842 -6.438 6.431
4.408 -6.348 -2.101

***

The lowest E_form (uncorrected) belongs to which entry? Ba3TbDy3Se8